Compound: CeDy5Er2
Source: Alexandria
Functional: PBE
Structure: relaxed

Cell: 7.0659 14.1336 4.9904 Å, 90.00 90.00 90.00°
Positions (direct):
Ce: 0.0000 0.0000 0.0000
Ce: 0.5000 0.5000 0.0000
Dy: 0.0000 0.5000 0.0000
Dy: 0.0019 0.2500 0.0000
Dy: 0.2473 0.1239 0.5000
Dy: 0.2527 0.6239 0.5000
Dy: 0.4981 0.7500 0.0000
Dy: 0.5000 0.0000 0.0000
Dy: 0.5019 0.2500 0.0000
Dy: 0.7473 0.3761 0.5000
Dy: 0.7527 0.8761 0.5000
Dy: 0.9981 0.7500 0.0000
Er: 0.2451 0.8760 0.5000
Er: 0.2549 0.3760 0.5000
Er: 0.7451 0.6240 0.5000
Er: 0.7549 0.1240 0.5000

Results
ΔE_f	0.33	eV/f.u.

***

Compound: MnInSb2
Source: Alexandria
Functional: PBE
Structure: relaxed

Cell: 14.3751 3.1709 4.6076 Å, 90.00 108.28 90.00°
Positions (direct):
Mn: 0.0000 0.0000 0.0000
Mn: 0.5000 0.5000 0.0000
In: 0.3021 0.0000 0.8051
In: 0.8021 0.5000 0.8051
Sb: 0.1728 0.5000 0.1776
Sb: 0.4778 0.0000 0.4787
Sb: 0.6728 0.0000 0.1776
Sb: 0.9778 0.5000 0.4787

Results
energy	-19.512	eV/f.u.

***

Compound: ZnFeIrRu2
Source: Alexandria
Functional: PBE
Structure: relaxed

Cell: 4.6863 4.6863 4.6544 Å, 90.00 90.00 90.00°
Positions (direct):
Zn: 0.0000 0.0000 0.0000
Fe: 0.5000 0.5000 0.0000
Ir: 0.0000 0.0000 0.5000
Ru: 0.0000 0.5000 0.5000
Ru: 0.5000 0.0000 0.5000

Results
ΔE_f	7.75	eV/f.u.

***

Compound: TiPbN2
Source: Alexandria
Functional: PBE
Structure: relaxed

Cell: 3.1693 3.1693 19.9930 Å, 90.00 90.00 120.00°
Positions (direct):
Ti: 0.0000 0.0000 0.0000
Ti: 0.3333 0.6667 0.6667
Ti: 0.6667 0.3333 0.3333
Pb: 0.0000 0.0000 0.5000
Pb: 0.3333 0.6667 0.1667
Pb: 0.6667 0.3333 0.8333
N: 0.0000 0.0000 0.3839
N: 0.0000 0.0000 0.6161
N: 0.3333 0.6667 0.0506
N: 0.3333 0.6667 0.2828
N: 0.6667 0.3333 0.7172
N: 0.6667 0.3333 0.9494

Results
energy	-29.484	eV/f.u.

***

Compound: UCoS2
Source: Alexandria
Functional: PBE
Structure: relaxed

Cell: 3.9796 3.9796 21.2741 Å, 90.00 90.00 120.00°
Positions (direct):
U: 0.0000 0.0000 0.0000
U: 0.3333 0.6667 0.6667
U: 0.6667 0.3333 0.3333
Co: 0.0000 0.0000 0.5000
Co: 0.3333 0.6667 0.1667
Co: 0.6667 0.3333 0.8333
S: 0.0000 0.0000 0.4004
S: 0.0000 0.0000 0.5996
S: 0.3333 0.6667 0.0671
S: 0.3333 0.6667 0.2662
S: 0.6667 0.3333 0.7338
S: 0.6667 0.3333 0.9329

Results
energy	-28.575	eV/f.u.

***

Compound: BaSrTlGe
Source: Alexandria
Functional: PBE
Structure: relaxed

Cell: 8.1791 8.1791 8.1791 Å, 90.00 90.00 90.00°
Positions (direct):
Ba: 0.0000 0.0000 0.0000
Ba: 0.0000 0.5000 0.5000
Ba: 0.5000 0.0000 0.5000
Ba: 0.5000 0.5000 0.0000
Sr: 0.0000 0.0000 0.5000
Sr: 0.0000 0.5000 0.0000
Sr: 0.5000 0.0000 0.0000
Sr: 0.5000 0.5000 0.5000
Tl: 0.2500 0.2500 0.2500
Tl: 0.2500 0.7500 0.7500
Tl: 0.7500 0.2500 0.7500
Tl: 0.7500 0.7500 0.2500
Ge: 0.2500 0.2500 0.7500
Ge: 0.2500 0.7500 0.2500
Ge: 0.7500 0.2500 0.2500
Ge: 0.7500 0.7500 0.7500

Results
ΔE_f	-1.54	eV/f.u.

***

Compound: MnSb2Br8
Source: Alexandria
Functional: PBE
Structure: relaxed

Cell: 8.0896 8.0896 7.5127 Å, 98.49 98.49 96.49°
Positions (direct):
Mn: 0.0000 0.0000 0.0000
Sb: 0.1645 0.1645 0.5841
Sb: 0.8355 0.8355 0.4159
Br: 0.0673 0.7472 0.2098
Br: 0.2221 0.2221 0.2203
Br: 0.2528 0.9327 0.7902
Br: 0.3977 0.3977 0.7319
Br: 0.6023 0.6023 0.2681
Br: 0.7472 0.0673 0.2098
Br: 0.7779 0.7779 0.7797
Br: 0.9327 0.2528 0.7902

Results
energy	-36.975	eV/f.u.

***

Compound: Ba2ZnCuTe
Source: Alexandria
Functional: PBE
Structure: relaxed

Cell: 6.1029 6.1029 4.6761 Å, 90.00 90.00 90.00°
Positions (direct):
Ba: 0.0000 0.5000 0.0000
Ba: 0.5000 0.0000 0.0000
Zn: 0.0000 0.0000 0.5000
Cu: 0.0000 0.0000 0.0000
Te: 0.5000 0.5000 0.5000

Results
energy	-15.172	eV/f.u.

***

Compound: TaCrNi2H
Source: Alexandria
Functional: PBE
Structure: relaxed

Cell: 3.6752 3.6752 3.9302 Å, 90.00 90.00 90.00°
Positions (direct):
Ta: 0.0000 0.0000 0.0000
Cr: 0.5000 0.5000 0.0000
Ni: 0.0000 0.5000 0.5000
Ni: 0.5000 0.0000 0.5000
H: 0.5000 0.5000 0.5000

Results
energy	-36.853	eV/f.u.

***

Compound: TlAs4Ir
Source: Alexandria
Functional: PBE
Structure: relaxed

Cell: 5.5915 5.5915 5.5915 Å, 60.00 60.00 60.00°
Positions (direct):
Tl: 0.0000 0.0000 0.0000
As: 0.1090 0.6303 0.6303
As: 0.6303 0.1090 0.6303
As: 0.6303 0.6303 0.1090
As: 0.6303 0.6303 0.6303
Ir: 0.2500 0.2500 0.2500

Results
ΔE_f	4.56	eV/f.u.

***

Compound: Ti12VSb6
Source: Alexandria
Functional: PBE
Structure: relaxed

Cell: 7.5156 7.5156 7.5156 Å, 102.37 102.37 102.37°
Positions (direct):
Ti: 0.0030 0.9616 0.6776
Ti: 0.0384 0.3224 0.9970
Ti: 0.2187 0.5000 0.3892
Ti: 0.3224 0.9970 0.0384
Ti: 0.3892 0.2187 0.5000
Ti: 0.5000 0.3892 0.2187
Ti: 0.5000 0.6108 0.7813
Ti: 0.6108 0.7813 0.5000
Ti: 0.6776 0.0030 0.9616
Ti: 0.7813 0.5000 0.6108
Ti: 0.9616 0.6776 0.0030
Ti: 0.9970 0.0384 0.3224
V: 0.0000 0.0000 0.0000
Sb: 0.1104 0.3479 0.6618
Sb: 0.3382 0.8896 0.6521
Sb: 0.3479 0.6618 0.1104
Sb: 0.6521 0.3382 0.8896
Sb: 0.6618 0.1104 0.3479
Sb: 0.8896 0.6521 0.3382

Results
energy	-129.320	eV/f.u.

***

Compound: RbBeGa2Ru
Source: Alexandria
Functional: PBE
Structure: relaxed

Cell: 5.2855 5.2855 4.8650 Å, 90.00 90.00 90.00°
Positions (direct):
Rb: 0.0000 0.0000 0.0000
Be: 0.5000 0.5000 0.5000
Ga: 0.0000 0.5000 0.0000
Ga: 0.5000 0.0000 0.0000
Ru: 0.0000 0.0000 0.5000

Results
ΔE_f	11.78	eV/f.u.

***

Compound: MgH6N2Cl2
Source: Alexandria
Functional: PBE
Structure: relaxed

Cell: 6.9742 6.9742 6.9742 Å, 114.27 107.08 107.17°
Positions (direct):
Mg: 0.4959 0.2459 0.2500
Mg: 0.5041 0.7541 0.7500
H: 0.0899 0.6588 0.4311
H: 0.1143 0.0621 0.8379
H: 0.1143 0.2764 0.0522
H: 0.2722 0.3412 0.9311
H: 0.2757 0.7236 0.3379
H: 0.2757 0.9379 0.5522
H: 0.7243 0.0621 0.4478
H: 0.7243 0.2764 0.6621
H: 0.7278 0.6588 0.0689
H: 0.8857 0.7236 0.9478
H: 0.8857 0.9379 0.1621
H: 0.9101 0.3412 0.5689
N: 0.2202 0.2316 0.9886
N: 0.2571 0.7684 0.4886
N: 0.7429 0.2316 0.5114
N: 0.7798 0.7684 0.0114
Cl: 0.2876 0.2961 0.5085
Cl: 0.2876 0.7792 0.9915
Cl: 0.7124 0.2208 0.0085
Cl: 0.7124 0.7039 0.4915

Results
energy	-51.447	eV/f.u.

***

Compound: LiFeSi2
Source: Alexandria
Functional: PBE
Structure: relaxed

Cell: 2.6434 4.0423 4.2336 Å, 90.00 90.00 90.00°
Positions (direct):
Li: 0.0000 0.0000 0.0000
Fe: 0.0000 0.5000 0.3509
Si: 0.5000 0.0000 0.4975
Si: 0.5000 0.5000 0.8612

Results
energy	-21.653	eV/f.u.